Record 1
Computed, not measured: InCoSe2N after structural relaxation at the PBE level of DFT.

N(E_F) = 2.180 states/eV per atom
Energy above the most stable polymorph in this dataset = 1.261 eV per atom
Formation energy without anion corrections = 1468 meV per atom
E = -3.560 eV/atom

abc: 5.6198 5.6198 4.2238
angles: 90.00 90.00 90.00
With the nearest neighbours (Å) after each atom.
Space group P4/mmm (No. 123)
Symmetry-distinct sites (fractional):
In1 0.0000 0.0000 0.0000 x1  2 N 2.11
Co1 0.5000 0.5000 0.5000 x1  8 Se 3.52
Se1 0.0000 0.5000 0.0000 x2  2 In 2.81
N1 0.0000 0.0000 0.5000 x1  2 In 2.11

---

Record 2
Computed, not measured: InCoSi2N after structural relaxation at the PBE level of DFT.

N(E_F) = 0.426 states/eV per atom
Formation energy without anion corrections = 495 meV per atom
E = -5.308 eV/atom

abc: 4.8288 4.8288 3.3638
angles: 90.00 90.00 90.00
With the nearest neighbours (Å) after each atom.
Space group P4/mmm (No. 123)
Symmetry-distinct sites (fractional):
In1 0.0000 0.0000 0.0000 x1  8 Si 2.94
Co1 0.5000 0.5000 0.5000 x1  2 N 1.68
Si1 0.0000 0.5000 0.5000 x2  2 Co 2.41
N1 0.5000 0.5000 0.0000 x1  2 Co 1.68